Material: AcSi4Ni4
Method: DFT, GGA-PBE
State: optimized geometry

Offset from the most stable computed form, eV per atom: 0.000
Formation energy from raw total energies, eV per atom: -0.56

Cell lengths 5.784, 5.784, 8.020 Å; angles 90.00, 90.00, 90.00 degrees
Fractional positions:
1 Ac 0.250 0.750 0.250
2 Ac 0.750 0.250 0.750
3 Si 0.042 0.250 0.089
4 Si 0.250 0.042 0.589
5 Si 0.250 0.458 0.589
6 Si 0.458 0.250 0.089
7 Si 0.542 0.750 0.911
8 Si 0.750 0.542 0.411
9 Si 0.750 0.958 0.411
10 Si 0.958 0.750 0.911
11 Ni 0.026 0.250 0.382
12 Ni 0.250 0.026 0.882
13 Ni 0.250 0.474 0.882
14 Ni 0.474 0.250 0.382
15 Ni 0.526 0.750 0.618
16 Ni 0.750 0.526 0.118
17 Ni 0.750 0.974 0.118
18 Ni 0.974 0.750 0.618